VASP calculation (PBE) on PrSmPu2Se4 after structural relaxation.

final energy: -8.211 eV per atom
SG: P2/m, No. 10

a = 4.171 Å, b = 7.224 Å, c = 7.275 Å
α = 109.33°, β = 90.00°, γ = 90.00°
Last column: magnetic moment on the atom in μB.
Fractional positions:
Se (0.000, 0.252, 0.745)  -0.05
Se (0.500, 0.256, 0.258)  -0.05
Se (0.500, 0.744, 0.742)  -0.05
Se (0.000, 0.748, 0.255)  -0.05
Pu (0.500, 0.000, 0.500)  5.47
Pu (0.000, 0.500, 0.500)  5.43
Pr (0.000, 0.000, 0.000)  0.03
Sm (0.500, 0.500, 0.000)  0.04

---

VASP calculation (PBE) on La5Hg after structural relaxation.

energy of formation: 187 meV/atom
SG: F-43m, No. 216
energy above the lowest structure with this stoichiometry: 354 meV/atom

a = 6.632 Å, b = 6.632 Å, c = 6.632 Å
α = 60.00°, β = 60.00°, γ = 60.00°
Fractional positions:
La (0.250, 0.250, 0.250)
La (0.124, 0.625, 0.625)
La (0.625, 0.625, 0.124)
La (0.625, 0.124, 0.625)
La (0.625, 0.625, 0.625)
Hg (0.000, 0.000, 0.000)

---

VASP calculation (PBE) on MgSb2Br8 after structural relaxation.

SG: C2/m, No. 12
energy above the lowest structure with this stoichiometry: 0 meV/atom

a = 3.831 Å, b = 10.437 Å, c = 10.139 Å
α = 87.46°, β = 100.89°, γ = 90.00°
Fractional positions:
Br (0.636, 0.963, 0.272)
Br (0.996, 0.822, 0.992)
Br (0.403, 0.428, 0.805)
Br (0.364, 0.037, 0.728)
Br (0.597, 0.572, 0.195)
Br (0.243, 0.296, 0.485)
Br (0.004, 0.178, 0.008)
Br (0.757, 0.704, 0.515)
Sb (0.851, 0.257, 0.701)
Sb (0.149, 0.743, 0.299)
Mg (0.500, 0.000, 0.000)

---

VASP calculation (PBE) on CaPuAlO6 after structural relaxation.

final energy: -8.194 eV per atom
SG: P-31c, No. 163

a = 5.203 Å, b = 5.203 Å, c = 10.193 Å
α = 90.00°, β = 90.00°, γ = 120.00°
Last column: magnetic moment on the atom in μB.
Fractional positions:
O (0.369, 0.357, 0.355)  -0.06
O (0.369, 0.012, 0.145)  -0.06
O (0.012, 0.369, 0.645)  -0.06
O (0.631, 0.988, 0.855)  -0.06
O (0.988, 0.631, 0.355)  -0.06
O (0.012, 0.643, 0.855)  -0.06
O (0.643, 0.012, 0.355)  -0.06
O (0.988, 0.357, 0.145)  -0.06
O (0.631, 0.643, 0.645)  -0.06
O (0.357, 0.369, 0.855)  -0.06
O (0.643, 0.631, 0.145)  -0.06
O (0.357, 0.988, 0.645)  -0.06
Al (0.333, 0.667, 0.750)  0.00
Al (0.667, 0.333, 0.250)  0.00
Ca (0.000, 0.000, 0.500)  0.00
Ca (0.000, 0.000, 0.000)  0.00
Pu (0.667, 0.333, 0.750)  1.38
Pu (0.333, 0.667, 0.250)  1.38

---

VASP calculation (PBE) on NaAcLa after structural relaxation.

energy of formation: 102 meV/atom
SG: P3m1, No. 156
energy above the lowest structure with this stoichiometry: 13 meV/atom

a = 3.844 Å, b = 3.844 Å, c = 9.588 Å
α = 90.00°, β = 90.00°, γ = 120.00°
Fractional positions:
Ac (0.667, 0.333, 0.344)
Na (0.000, 0.000, 0.997)
La (0.333, 0.667, 0.659)

---

VASP calculation (PBE) on Ba2CuHg after structural relaxation.

energy of formation: -208 meV/atom
SG: Pmmm, No. 47

a = 4.048 Å, b = 4.112 Å, c = 9.256 Å
α = 63.65°, β = 90.00°, γ = 90.00°
Fractional positions:
Ba (0.000, 0.988, 0.013)
Ba (0.000, 0.512, 0.487)
Hg (0.500, 0.750, 0.750)
Cu (0.500, 0.250, 0.250)

---

VASP calculation (PBE) on Sr5In3I12 after structural relaxation.

final energy: -2.944 eV per atom
SG: Ia-3d, No. 230

a = 17.519 Å, b = 17.519 Å, c = 17.519 Å
α = 109.47°, β = 109.47°, γ = 109.47°
Fractional positions:
I (0.091, 0.917, 0.378)
I (0.378, 0.417, 0.091)
I (0.213, 0.674, 0.091)
I (0.713, 0.122, 0.039)
I (0.674, 0.213, 0.591)
I (0.461, 0.674, 0.083)
I (0.787, 0.326, 0.909)
I (0.083, 0.174, 0.461)
I (0.287, 0.878, 0.961)
I (0.674, 0.461, 0.583)
I (0.461, 0.787, 0.878)
I (0.083, 0.909, 0.122)
I (0.409, 0.122, 0.583)
I (0.039, 0.417, 0.826)
I (0.213, 0.539, 0.622)
I (0.713, 0.591, 0.174)
I (0.409, 0.287, 0.326)
I (0.039, 0.622, 0.713)
I (0.622, 0.583, 0.909)
I (0.583, 0.961, 0.674)
I (0.417, 0.039, 0.326)
I (0.091, 0.174, 0.213)
I (0.378, 0.961, 0.787)
I (0.287, 0.409, 0.826)
I (0.583, 0.622, 0.409)
I (0.826, 0.917, 0.039)
I (0.591, 0.878, 0.417)
I (0.174, 0.083, 0.961)
I (0.326, 0.787, 0.409)
I (0.591, 0.713, 0.674)
I (0.174, 0.091, 0.713)
I (0.878, 0.591, 0.917)
I (0.826, 0.909, 0.287)
I (0.326, 0.539, 0.417)
I (0.917, 0.091, 0.878)
I (0.539, 0.213, 0.122)
I (0.787, 0.461, 0.378)
I (0.909, 0.826, 0.787)
I (0.961, 0.583, 0.174)
I (0.878, 0.287, 0.461)
I (0.961, 0.378, 0.287)
I (0.622, 0.039, 0.213)
I (0.122, 0.409, 0.083)
I (0.539, 0.326, 0.917)
I (0.909, 0.083, 0.622)
I (0.417, 0.378, 0.591)
I (0.122, 0.713, 0.539)
I (0.917, 0.826, 0.539)
Sr (0.500, 0.000, 0.000)
Sr (0.500, 0.500, 0.500)
Sr (0.000, 0.000, 0.000)
Sr (0.750, 0.125, 0.875)
Sr (0.000, 0.000, 0.500)
Sr (0.125, 0.750, 0.375)
Sr (0.625, 0.875, 0.250)
Sr (0.875, 0.250, 0.625)
Sr (0.750, 0.625, 0.375)
Sr (0.000, 0.500, 0.000)
Sr (0.875, 0.625, 0.750)
Sr (0.250, 0.375, 0.625)
Sr (0.625, 0.750, 0.875)
Sr (0.500, 0.500, 0.000)
Sr (0.250, 0.875, 0.125)
Sr (0.000, 0.500, 0.500)
Sr (0.500, 0.000, 0.500)
Sr (0.375, 0.250, 0.125)
Sr (0.375, 0.125, 0.750)
Sr (0.125, 0.375, 0.250)
In (0.750, 0.375, 0.125)
In (0.625, 0.250, 0.375)
In (0.375, 0.625, 0.250)
In (0.750, 0.875, 0.625)
In (0.250, 0.125, 0.375)
In (0.125, 0.250, 0.875)
In (0.625, 0.375, 0.750)
In (0.125, 0.875, 0.750)
In (0.250, 0.625, 0.875)
In (0.375, 0.750, 0.625)
In (0.875, 0.750, 0.125)
In (0.875, 0.125, 0.250)

---

VASP calculation (PBE) on NdDyAlAg after structural relaxation.

energy of formation: -341 meV/atom
SG: P4mm, No. 99
energy above the lowest structure with this stoichiometry: 0 meV/atom

a = 3.606 Å, b = 3.606 Å, c = 7.685 Å
α = 90.00°, β = 90.00°, γ = 90.00°
Fractional positions:
Ag (0.500, 0.500, 0.131)
Al (0.500, 0.500, 0.593)
Dy (0.000, 0.000, 0.354)
Nd (0.000, 0.000, 0.850)

---

VASP calculation (PBE) on AcSn2I after structural relaxation.

final energy: -3.786 eV per atom
SG: P4/mmm, No. 123

a = 4.780 Å, b = 4.780 Å, c = 6.391 Å
α = 90.00°, β = 90.00°, γ = 90.00°
Fractional positions:
Sn (0.000, 0.000, 0.276)
Sn (0.000, 0.000, 0.724)
I (0.500, 0.500, 0.000)
Ac (0.500, 0.500, 0.500)

---

VASP calculation (PBE) on Nd2SmTh after structural relaxation.

energy of formation: 192 meV/atom
SG: R-3m, No. 166
energy above the lowest structure with this stoichiometry: 165 meV/atom

a = 3.529 Å, b = 3.529 Å, c = 12.933 Å
α = 82.16°, β = 82.16°, γ = 60.00°
Fractional positions:
Nd (0.911, 0.911, 0.267)
Nd (0.089, 0.089, 0.733)
Th (0.000, 0.000, 0.000)
Sm (0.500, 0.500, 0.500)

---

VASP calculation (PBE) on CdTe after structural relaxation.

final energy: -2.083 eV per atom
SG: Pmma, No. 51

a = 4.072 Å, b = 4.264 Å, c = 7.211 Å
α = 90.00°, β = 90.00°, γ = 90.00°
Fractional positions:
Cd (0.000, 0.000, 0.940)
Cd (0.000, 0.500, 0.393)
Te (0.500, 0.000, 0.424)
Te (0.500, 0.500, 0.910)

---

VASP calculation (PBE) on Na2IrSe after structural relaxation.

final energy: -3.751 eV per atom
SG: I-42d, No. 122

a = 11.032 Å, b = 11.032 Å, c = 8.127 Å
α = 47.26°, β = 47.26°, γ = 90.00°
Fractional positions:
Na (0.397, 0.125, 0.250)
Na (0.875, 0.647, 0.750)
Na (0.375, 0.603, 0.750)
Na (0.353, 0.625, 0.250)
Ir (0.000, 0.000, 0.000)
Ir (0.750, 0.250, 0.500)
Se (0.250, 0.750, 0.500)
Se (0.500, 0.500, 0.000)

---

Repeat the fourth record exactly.
VASP calculation (PBE) on CaPuAlO6 after structural relaxation.

final energy: -8.194 eV per atom
SG: P-31c, No. 163

a = 5.203 Å, b = 5.203 Å, c = 10.193 Å
α = 90.00°, β = 90.00°, γ = 120.00°
Last column: magnetic moment on the atom in μB.
Fractional positions:
O (0.369, 0.357, 0.355)  -0.06
O (0.369, 0.012, 0.145)  -0.06
O (0.012, 0.369, 0.645)  -0.06
O (0.631, 0.988, 0.855)  -0.06
O (0.988, 0.631, 0.355)  -0.06
O (0.012, 0.643, 0.855)  -0.06
O (0.643, 0.012, 0.355)  -0.06
O (0.988, 0.357, 0.145)  -0.06
O (0.631, 0.643, 0.645)  -0.06
O (0.357, 0.369, 0.855)  -0.06
O (0.643, 0.631, 0.145)  -0.06
O (0.357, 0.988, 0.645)  -0.06
Al (0.333, 0.667, 0.750)  0.00
Al (0.667, 0.333, 0.250)  0.00
Ca (0.000, 0.000, 0.500)  0.00
Ca (0.000, 0.000, 0.000)  0.00
Pu (0.667, 0.333, 0.750)  1.38
Pu (0.333, 0.667, 0.250)  1.38